! Li6CeSn6, optimized geometry, DFT PBE-GGA; values from VASP
&SYSTEM
  ibrav = 0, nat = 13, ntyp = 3
/
ATOMIC_SPECIES
Li 6.94 Li.upf
Ce 140.12 Ce.upf
Sn 118.71 Sn.upf
CELL_PARAMETERS angstrom
5.8398 -0.0004 0.0000
-2.9195 5.0576 0.0000
0.0000 0.0000 9.3885
ATOMIC_POSITIONS angstrom
Li -1.4598 2.5288 7.0592
Li 2.9199 -0.0002 7.0592
Li 1.4601 2.5286 7.0591
Li 2.9199 -0.0002 2.3292
Li -1.4598 2.5288 2.3292
Li 1.4601 2.5286 2.3294
Ce 0.0000 0.0000 0.0000
Sn 0.0000 0.0000 6.1246
Sn 0.0000 0.0000 3.2638
Sn 0.0004 3.3716 0.0000
Sn 2.9199 1.6857 0.0000
Sn 0.0002 3.3717 4.6942
Sn 2.9201 1.6856 4.6942
! ΔH_f (0 K): -0.352 eV per atom
! Fermi-level density of states: 10.90 states/eV per cell